No. 1
Compound: Pr2ErMg2
Source: the Alexandria database
Functional: PBE
Structure: optimized geometry

The formation energy comes out at -60 meV per atom. The space group is P2_1/m, No. 11. The calculation puts the electronic total energy at -35.2 eV per cell. Its calculated density is 5.49 g/cm3.

a = 3.851 Å, b = 5.493 Å, c = 14.349 Å
α = 90.00°, β = 97.74°, γ = 90.00°
Fractional coordinates of all 10 atoms:
Pr (0.954, 0.250, 0.910)
Pr (0.764, 0.250, 0.527)
Pr (0.046, 0.750, 0.090)
Er (0.850, 0.750, 0.701)
Pr (0.236, 0.750, 0.473)
Mg (0.444, 0.750, 0.889)
Mg (0.640, 0.750, 0.280)
Er (0.150, 0.250, 0.299)
Mg (0.556, 0.250, 0.111)
Mg (0.360, 0.250, 0.720)

***

No. 2
Compound: Rb4InBr7
Source: the Alexandria database
Functional: PBE
Structure: optimized geometry

The calculation puts the uncorrected formation energy at -1427.7 meV per atom. The space group is C2, No. 5. The calculation puts the electronic total energy at -35.5 eV per cell. Its calculated density is 3.16 g/cm3.

a = 7.030 Å, b = 8.439 Å, c = 11.159 Å
α = 100.15°, β = 71.64°, γ = 65.38°
Fractional coordinates of all 12 atoms:
Rb (0.703, 0.184, 0.476)
Rb (0.868, 0.576, 0.774)
Rb (0.363, 0.816, 0.524)
Br (0.408, 0.000, 0.000)
Br (0.184, 0.222, 0.474)
Rb (0.217, 0.424, 0.226)
Br (0.879, 0.848, 0.151)
Br (0.755, 0.354, 0.214)
Br (0.877, 0.152, 0.849)
Br (0.880, 0.778, 0.526)
Br (0.323, 0.646, 0.786)
In (0.044, 0.000, 0.000)

***

No. 3
Compound: PmPr3Au2
Source: the Alexandria database
Functional: PBE
Structure: optimized geometry

The formation energy comes out at -541 meV per atom. The space group is Pmc2_1, No. 26. The calculation puts the electronic total energy at -57.8 eV per cell. Its calculated density is 9.01 g/cm3.

a = 5.148 Å, b = 7.327 Å, c = 9.398 Å
α = 90.00°, β = 90.00°, γ = 90.00°
Fractional coordinates of all 12 atoms:
Au (0.500, 0.237, 0.156)
Pr (0.000, 0.493, 0.925)
Au (0.000, 0.263, 0.652)
Pr (0.000, 0.849, 0.663)
Au (0.500, 0.737, 0.844)
Pm (0.500, 0.507, 0.574)
Pr (0.500, 0.651, 0.165)
Pr (0.500, 0.151, 0.835)
Pr (0.000, 0.349, 0.337)
Au (0.000, 0.763, 0.348)
Pm (0.500, 0.007, 0.426)
Pr (0.000, 0.993, 0.075)